This record from Alexandria via LeMat-Bulk describes a relaxed structure of Cd5Ru. The functional is GGA-PBE.

Calculated values
magnetic moment: 1.6 μB per cell
E: -2.155 eV per atom
calculated formation energy: 0.153 eV/atom

Lattice parameters (Å, degrees): 4.796 3.042 16.619 90.00 90.00 90.00
Space group Amm2 (No. 38)
Asymmetric unit:
1 Cd 0.000 0.000 0.000 x2
2 Cd 0.000 0.000 0.301 x2
3 Cd 0.500 0.000 0.198 x2
4 Cd 0.500 0.000 0.547 x2
5 Cd 0.500 0.000 0.877 x2
6 Ru 0.000 0.000 0.650 x2